## P
This record from the Alexandria database describes a relaxed FeNiPb2 crystal. The functional is PBE-GGA.

Cell: 6.423 6.423 6.423 Å, 150.48 139.81 50.65°
Element x y z (fractional)
Fe 0.000 0.000 0.000
Ni 0.849 0.349 0.500
Pb 0.319 0.819 0.500
Pb 0.593 0.593 0.000

## Properties
N(E_F) (states/eV/atom): 0.861
Magnetization (μB/f.u.): 3.2
Space-group type: No. 44

## Q
This record from the Alexandria database describes a relaxed FeNiPb2 crystal. The functional is PBE-GGA.

Cell: 3.773 4.101 5.380 Å, 90.00 110.41 90.00°
Element x y z (fractional)
Fe 0.000 0.000 0.000
Ni 0.133 0.500 0.267
Pb 0.424 0.500 0.846
Pb 0.712 0.000 0.427

## Properties
N(E_F) (states/eV/atom): 0.856
Magnetization (μB/f.u.): 2.6
Space-group type: No. 6

Q has the most favorable energy; the next structure is 123 meV per atom above.

## P
This record from the Alexandria database describes a relaxed FeNi2Pb2 crystal. The functional is PBE-GGA.

Cell: 7.430 7.430 3.221 Å, 90.00 90.00 90.00°
Element x y z (fractional)
Fe 0.000 0.000 0.000
Fe 0.500 0.500 0.000
Ni 0.130 0.370 0.500
Ni 0.370 0.870 0.500
Ni 0.630 0.130 0.500
Ni 0.870 0.630 0.500
Pb 0.166 0.666 0.000
Pb 0.334 0.166 0.000
Pb 0.666 0.834 0.000
Pb 0.834 0.334 0.000

## Properties
N(E_F) (states/eV/atom): 0.881
Magnetization (μB/f.u.): 2.3
Space-group type: No. 127

## Q
This record from the Alexandria database describes a relaxed FeNi2Pb2 crystal. The functional is PBE-GGA.

Cell: 8.451 8.451 8.451 Å, 157.05 157.05 32.69°
Element x y z (fractional)
Fe 0.000 0.000 0.000
Ni 0.250 0.750 0.500
Ni 0.750 0.250 0.500
Pb 0.388 0.388 0.000
Pb 0.612 0.612 0.000

## Properties
N(E_F) (states/eV/atom): 1.887
Magnetization (μB/f.u.): 2.0
Space-group type: No. 139

Q has the most favorable energy; the next structure is 26 meV per atom above.

## P
This record from the Alexandria database describes a relaxed FeNi4Pd crystal. The functional is PBE-GGA.

Cell: 8.066 2.564 6.939 Å, 90.00 90.00 90.00°
Element x y z (fractional)
Fe 0.250 0.000 0.184
Fe 0.750 0.000 0.816
Ni 0.000 0.000 0.000
Ni 0.016 0.500 0.317
Ni 0.250 0.500 0.881
Ni 0.484 0.500 0.317
Ni 0.500 0.000 0.000
Ni 0.516 0.500 0.683
Ni 0.750 0.500 0.119
Ni 0.984 0.500 0.683
Pd 0.250 0.000 0.544
Pd 0.750 0.000 0.456

## Properties
N(E_F) (states/eV/atom): 1.161
Magnetization (μB/f.u.): 5.5
Space-group type: No. 51

## Q
This record from the Alexandria database describes a relaxed FeNi4Pd crystal. The functional is PBE-GGA.

Cell: 4.427 4.427 5.170 Å, 106.89 106.89 47.82°
Element x y z (fractional)
Fe 0.000 0.000 0.000
Ni 0.328 0.328 0.158
Ni 0.336 0.336 0.679
Ni 0.664 0.664 0.321
Ni 0.672 0.672 0.842
Pd 0.000 0.000 0.500

## Properties
N(E_F) (states/eV/atom): 0.955
Magnetization (μB/f.u.): 5.7
Space-group type: No. 12

## R
This record from the Alexandria database describes a relaxed FeNi4Pd crystal. The functional is PBE-GGA.

Cell: 4.682 4.682 4.682 Å, 60.00 60.00 60.00°
Element x y z (fractional)
Fe 0.000 0.000 0.000
Ni 0.125 0.625 0.625
Ni 0.625 0.125 0.625
Ni 0.625 0.625 0.125
Ni 0.625 0.625 0.625
Pd 0.250 0.250 0.250

## Properties
N(E_F) (states/eV/atom): 1.332
Magnetization (μB/f.u.): 5.2
Space-group type: No. 216

Q has the most favorable energy; the next structure is 50 meV per atom above.

## P
This record from the Alexandria database describes a relaxed Fe2NiPd4 crystal. The functional is PBE-GGA.

Cell: 6.742 6.742 6.742 Å, 116.30 116.30 96.54°
Element x y z (fractional)
Fe 0.149 0.649 0.797
Fe 0.351 0.149 0.500
Fe 0.649 0.851 0.500
Fe 0.851 0.351 0.203
Ni 0.250 0.250 0.000
Ni 0.750 0.750 0.000
Pd 0.006 0.806 0.500
Pd 0.194 0.694 0.200
Pd 0.306 0.506 0.500
Pd 0.494 0.994 0.800
Pd 0.506 0.006 0.200
Pd 0.694 0.494 0.500
Pd 0.806 0.306 0.800
Pd 0.994 0.194 0.500

## Properties
N(E_F) (states/eV/atom): 1.143
Magnetization (μB/f.u.): 8.4
Space-group type: No. 140

## Q
This record from the Alexandria database describes a relaxed Fe2NiPd4 crystal. The functional is PBE-GGA.

Cell: 5.263 5.263 5.263 Å, 117.48 117.48 94.42°
Element x y z (fractional)
Fe 0.000 0.500 0.500
Fe 0.500 0.000 0.500
Ni 0.000 0.000 0.000
Pd 0.000 0.000 0.500
Pd 0.000 0.500 0.000
Pd 0.500 0.000 0.000
Pd 0.500 0.500 0.500

## Properties
N(E_F) (states/eV/atom): 0.513
Magnetization (μB/f.u.): 8.7
Space-group type: No. 139

Q has the most favorable energy; the next structure is 253 meV per atom above.

## P
This record from the Alexandria database describes a relaxed FeNi2Pd6 crystal. The functional is PBE-GGA.

Cell: 7.351 7.351 2.755 Å, 90.00 90.00 120.00°
Element x y z (fractional)
Fe 0.000 0.000 0.000
Ni 0.333 0.667 0.766
Ni 0.667 0.333 0.234
Pd 0.040 0.685 0.260
Pd 0.315 0.355 0.260
Pd 0.355 0.040 0.740
Pd 0.645 0.960 0.260
Pd 0.685 0.645 0.740
Pd 0.960 0.315 0.740

## Properties
N(E_F) (states/eV/atom): 1.403
Magnetization (μB/f.u.): 6.9
Space-group type: No. 147

## Q
This record from the Alexandria database describes a relaxed FeNi2Pd6 crystal. The functional is PBE-GGA.

Cell: 5.911 5.911 8.075 Å, 130.59 130.59 38.62°
Element x y z (fractional)
Fe 0.000 0.000 0.000
Ni 0.334 0.334 0.669
Ni 0.666 0.666 0.331
Pd 0.010 0.010 0.334
Pd 0.324 0.324 0.334
Pd 0.342 0.342 0.000
Pd 0.658 0.658 0.000
Pd 0.676 0.676 0.666
Pd 0.990 0.990 0.666

## Properties
N(E_F) (states/eV/atom): 0.891
Magnetization (μB/f.u.): 6.7
Space-group type: No. 12

Q has the most favorable energy; the next structure is 69 meV per atom above.

## P
This record from the Alexandria database describes a relaxed Fe6NiPd12 crystal. The functional is PBE-GGA.

Cell: 7.219 7.219 7.219 Å, 110.91 110.91 110.91°
Element x y z (fractional)
Fe 0.058 0.367 0.585
Fe 0.367 0.585 0.058
Fe 0.415 0.942 0.633
Fe 0.585 0.058 0.367
Fe 0.633 0.415 0.942
Fe 0.942 0.633 0.415
Ni 0.000 0.000 0.000
Pd 0.112 0.739 0.163
Pd 0.163 0.112 0.739
Pd 0.205 0.475 0.325
Pd 0.261 0.837 0.888
Pd 0.325 0.205 0.475
Pd 0.475 0.325 0.205
Pd 0.525 0.675 0.795
Pd 0.675 0.795 0.525
Pd 0.739 0.163 0.112
Pd 0.795 0.525 0.675
Pd 0.837 0.888 0.261
Pd 0.888 0.261 0.837

## Properties
N(E_F) (states/eV/atom): 0.976
Magnetization (μB/f.u.): 23.1
Space-group type: No. 148

## Q
This record from the Alexandria database describes a relaxed Fe6NiPd12 crystal. The functional is PBE-GGA.

Cell: 6.725 6.725 6.725 Å, 100.71 100.71 100.71°
Element x y z (fractional)
Fe 0.000 0.254 0.746
Fe 0.000 0.746 0.254
Fe 0.254 0.000 0.746
Fe 0.254 0.746 0.000
Fe 0.746 0.000 0.254
Fe 0.746 0.254 0.000
Ni 0.500 0.500 0.500
Pd 0.148 0.148 0.418
Pd 0.148 0.418 0.148
Pd 0.175 0.610 0.610
Pd 0.390 0.390 0.825
Pd 0.390 0.825 0.390
Pd 0.418 0.148 0.148
Pd 0.582 0.852 0.852
Pd 0.610 0.175 0.610
Pd 0.610 0.610 0.175
Pd 0.825 0.390 0.390
Pd 0.852 0.582 0.852
Pd 0.852 0.852 0.582

## Properties
N(E_F) (states/eV/atom): 1.010
Magnetization (μB/f.u.): 23.3
Space-group type: No. 166

P has the most favorable energy; the next structure is 103 meV per atom above.

## P
This record from the Alexandria database describes a relaxed Fe6NiPd8 crystal. The functional is PBE-GGA.

Cell: 9.616 9.616 2.748 Å, 90.00 90.00 120.00°
Element x y z (fractional)
Fe 0.089 0.613 0.255
Fe 0.387 0.476 0.255
Fe 0.476 0.089 0.745
Fe 0.524 0.911 0.255
Fe 0.613 0.524 0.745
Fe 0.911 0.387 0.745
Ni 0.000 0.000 0.500
Pd 0.081 0.296 0.237
Pd 0.215 0.919 0.237
Pd 0.296 0.215 0.763
Pd 0.333 0.667 0.755
Pd 0.667 0.333 0.245
Pd 0.704 0.785 0.237
Pd 0.785 0.081 0.763
Pd 0.919 0.704 0.763

## Properties
N(E_F) (states/eV/atom): 0.817
Magnetization (μB/f.u.): 20.8
Space-group type: No. 147

## Q
This record from the Alexandria database describes a relaxed Fe6NiPd8 crystal. The functional is PBE-GGA.

Cell: 6.627 6.627 6.627 Å, 64.27 64.27 64.27°
Element x y z (fractional)
Fe 0.070 0.669 0.376
Fe 0.331 0.624 0.930
Fe 0.376 0.070 0.669
Fe 0.624 0.930 0.331
Fe 0.669 0.376 0.070
Fe 0.930 0.331 0.624
Ni 0.000 0.000 0.000
Pd 0.144 0.393 0.837
Pd 0.163 0.856 0.607
Pd 0.263 0.263 0.263
Pd 0.393 0.837 0.144
Pd 0.607 0.163 0.856
Pd 0.737 0.737 0.737
Pd 0.837 0.144 0.393
Pd 0.856 0.607 0.163

## Properties
N(E_F) (states/eV/atom): 0.826
Magnetization (μB/f.u.): 21.3
Space-group type: No. 148

Q has the most favorable energy; the next structure is 28 meV per atom above.

## P
This record from the Alexandria database describes a relaxed Fe3NiPd6 crystal. The functional is PBE-GGA.

Cell: 5.101 5.101 7.468 Å, 116.09 116.09 62.39°
Element x y z (fractional)
Fe 0.000 0.000 0.000
Fe 0.029 0.029 0.682
Fe 0.971 0.971 0.318
Ni 0.500 0.500 0.500
Pd 0.045 0.530 0.696
Pd 0.355 0.355 0.074
Pd 0.470 0.955 0.304
Pd 0.530 0.045 0.696
Pd 0.645 0.645 0.926
Pd 0.955 0.470 0.304

## Properties
N(E_F) (states/eV/atom): 0.923
Magnetization (μB/f.u.): 11.9
Space-group type: No. 12

## Q
This record from the Alexandria database describes a relaxed Fe3NiPd6 crystal. The functional is PBE-GGA.

Cell: 7.205 4.400 9.494 Å, 90.00 109.65 90.00°
Element x y z (fractional)
Fe 0.102 0.250 0.236
Fe 0.296 0.250 0.032
Fe 0.306 0.750 0.372
Fe 0.694 0.250 0.628
Fe 0.704 0.750 0.968
Fe 0.898 0.750 0.764
Ni 0.100 0.750 0.565
Ni 0.900 0.250 0.435
Pd 0.081 0.250 0.720
Pd 0.101 0.750 0.073
Pd 0.287 0.250 0.526
Pd 0.287 0.750 0.862
Pd 0.495 0.250 0.331
Pd 0.499 0.250 0.838
Pd 0.501 0.750 0.162
Pd 0.505 0.750 0.669
Pd 0.713 0.250 0.138
Pd 0.713 0.750 0.474
Pd 0.899 0.250 0.927
Pd 0.919 0.750 0.280

## Properties
N(E_F) (states/eV/atom): 0.980
Magnetization (μB/f.u.): 11.8
Space-group type: No. 11

Q has the most favorable energy; the next structure is 166 meV per atom above.

## P
This record from the Alexandria database describes a relaxed Fe2Ni3Pd8 crystal. The functional is PBE-GGA.

Cell: 7.698 3.731 7.895 Å, 90.00 117.03 90.00°
Element x y z (fractional)
Fe 0.248 0.000 0.277
Fe 0.752 0.000 0.723
Ni 0.276 0.500 0.785
Ni 0.500 0.000 0.000
Ni 0.724 0.500 0.215
Pd 0.104 0.500 0.396
Pd 0.114 0.000 0.895
Pd 0.359 0.500 0.142
Pd 0.379 0.000 0.626
Pd 0.621 0.000 0.374
Pd 0.641 0.500 0.858
Pd 0.886 0.000 0.105
Pd 0.896 0.500 0.604

## Properties
N(E_F) (states/eV/atom): 1.109
Magnetization (μB/f.u.): 11.3
Space-group type: No. 10

## Q
This record from the Alexandria database describes a relaxed Fe2Ni3Pd8 crystal. The functional is PBE-GGA.

Cell: 6.557 6.557 5.063 Å, 95.52 95.52 64.56°
Element x y z (fractional)
Fe 0.192 0.192 0.269
Fe 0.808 0.808 0.731
Ni 0.000 0.000 0.500
Ni 0.168 0.832 0.000
Ni 0.832 0.168 0.000
Pd 0.189 0.571 0.568
Pd 0.191 0.191 0.790
Pd 0.399 0.399 0.103
Pd 0.429 0.811 0.432
Pd 0.571 0.189 0.568
Pd 0.601 0.601 0.897
Pd 0.809 0.809 0.210
Pd 0.811 0.429 0.432

## Properties
N(E_F) (states/eV/atom): 1.106
Magnetization (μB/f.u.): 11.1
Space-group type: No. 12

Q has the most favorable energy; the next structure is 38 meV per atom above.

## P
This record from the Alexandria database describes a relaxed FeNi2Pd8 crystal. The functional is PBE-GGA.

Cell: 7.188 7.188 6.124 Å, 105.43 105.43 31.60°
Element x y z (fractional)
Fe 0.000 0.000 0.000
Ni 0.274 0.274 0.368
Ni 0.726 0.726 0.632
Pd 0.097 0.097 0.454
Pd 0.181 0.181 0.915
Pd 0.361 0.361 0.809
Pd 0.454 0.454 0.268
Pd 0.546 0.546 0.732
Pd 0.639 0.639 0.191
Pd 0.819 0.819 0.085
Pd 0.903 0.903 0.546

## Properties
N(E_F) (states/eV/atom): 1.257
Magnetization (μB/f.u.): 7.5
Space-group type: No. 12

## Q
This record from the Alexandria database describes a relaxed FeNi2Pd8 crystal. The functional is PBE-GGA.

Cell: 6.687 6.687 4.688 Å, 102.87 102.87 59.61°
Element x y z (fractional)
Fe 0.000 0.000 0.000
Ni 0.112 0.112 0.502
Ni 0.888 0.888 0.498
Pd 0.221 0.221 0.082
Pd 0.233 0.633 0.216
Pd 0.345 0.345 0.663
Pd 0.367 0.767 0.784
Pd 0.633 0.233 0.216
Pd 0.655 0.655 0.337
Pd 0.767 0.367 0.784
Pd 0.779 0.779 0.918

## Properties
N(E_F) (states/eV/atom): 1.421
Magnetization (μB/f.u.): 7.3
Space-group type: No. 12

P has the most favorable energy; the next structure is 276 meV per atom above.